CoSb2O6 | PBE with a Hubbard U | optimized geometry

abc: 5.188 5.188 4.464
angles: 90.00 90.00 120.00
Fractional positions:
1 Co 0.000 0.000 0.000
2 Sb 0.333 0.667 0.500
3 Sb 0.667 0.333 0.500
4 O 0.000 0.350 0.258
5 O 0.000 0.650 0.742
6 O 0.350 0.000 0.258
7 O 0.350 0.350 0.742
8 O 0.650 0.000 0.742
9 O 0.650 0.650 0.258

Properties
Space group: P-31m
Size of the total moment (μB per cell): 3.0
Polymorph energy (0 for the lowest one) (meV per atom): 70